Entry i
# Ce2TlPt9

Crystalline Ce2TlPt9 at its relaxed geometry (GGA-PBE, the Alexandria database).

Computed properties:
The size of the total moment is 0.00 μB per cell. The density of states at the Fermi level comes out at 2.8 states/eV per cell.

abc: 4.1525 4.1525 12.4060
angles: 90.00 90.00 90.00
Fractional coordinates of all 12 atoms:
Ce 0.0000 0.0000 0.1693
Ce 0.0000 0.0000 0.8307
Tl 0.0000 0.0000 0.5000
Pt 0.0000 0.5000 0.0000
Pt 0.0000 0.5000 0.3318
Pt 0.0000 0.5000 0.6682
Pt 0.5000 0.0000 0.0000
Pt 0.5000 0.0000 0.3318
Pt 0.5000 0.0000 0.6682
Pt 0.5000 0.5000 0.1684
Pt 0.5000 0.5000 0.5000
Pt 0.5000 0.5000 0.8316

=====

Entry ii
# Ce2TlPt9

Crystalline Ce2TlPt9 at its relaxed geometry (GGA-PBE, the Alexandria database).

Computed properties:
The size of the total moment is 1.11 μB per cell. The density of states at the Fermi level comes out at 15.9 states/eV per cell.

abc: 9.4669 9.4669 9.4669
angles: 33.48 33.48 33.48
Fractional coordinates of all 12 atoms:
Ce 0.1363 0.1363 0.1363
Ce 0.8637 0.8637 0.8637
Tl 0.0000 0.0000 0.0000
Pt 0.0815 0.5879 0.5879
Pt 0.3320 0.3320 0.3320
Pt 0.4121 0.4121 0.9185
Pt 0.4121 0.9185 0.4121
Pt 0.5000 0.5000 0.5000
Pt 0.5879 0.0815 0.5879
Pt 0.5879 0.5879 0.0815
Pt 0.6680 0.6680 0.6680
Pt 0.9185 0.4121 0.4121

=====

Energy above the most stable structure, in meV/atom: entry i 0; entry ii 81

=====

Entry i
# CeTm2Pt

Crystalline CeTm2Pt at its relaxed geometry (GGA-PBE, the Alexandria database).

Computed properties:
The size of the total moment is 1.15 μB per cell. The density of states at the Fermi level comes out at 6.4 states/eV per cell.

abc: 3.4806 3.4806 8.4585
angles: 90.00 90.00 90.00
Fractional coordinates of all 4 atoms:
Ce 0.0000 0.0000 0.0000
Tm 0.5000 0.5000 0.3060
Tm 0.5000 0.5000 0.6940
Pt 0.0000 0.0000 0.5000

=====

Entry ii
# CeTm2Pt

Crystalline CeTm2Pt at its relaxed geometry (GGA-PBE, the Alexandria database).

Computed properties:
The size of the total moment is 1.81 μB per cell. The density of states at the Fermi level comes out at 8.3 states/eV per cell.

abc: 9.4496 9.4496 9.4496
angles: 23.40 23.40 23.40
Fractional coordinates of all 4 atoms:
Ce 0.0000 0.0000 0.0000
Tm 0.5579 0.5579 0.5579
Tm 0.7707 0.7707 0.7707
Pt 0.1640 0.1640 0.1640

=====

Energy above the most stable structure, in meV/atom: entry i 0; entry ii 132

=====

Entry i
# CeTmPt4

Crystalline CeTmPt4 at its relaxed geometry (GGA-PBE, the Alexandria database).

Computed properties:
The size of the total moment is 0.31 μB per cell. The density of states at the Fermi level comes out at 8.2 states/eV per cell.

abc: 10.0016 10.0016 5.7466
angles: 90.00 90.00 155.76
Fractional coordinates of all 12 atoms:
Ce 0.2238 0.7762 0.7500
Ce 0.7762 0.2238 0.2500
Tm 0.0769 0.9231 0.2500
Tm 0.9231 0.0769 0.7500
Pt 0.0719 0.9281 0.7500
Pt 0.3516 0.6484 0.0072
Pt 0.3516 0.6484 0.4928
Pt 0.5000 0.5000 0.0000
Pt 0.5000 0.5000 0.5000
Pt 0.6484 0.3516 0.5072
Pt 0.6484 0.3516 0.9928
Pt 0.9281 0.0719 0.2500

=====

Entry ii
# CeTmPt4

Crystalline CeTmPt4 at its relaxed geometry (GGA-PBE, the Alexandria database).

Computed properties:
The size of the total moment is 0.58 μB per cell. The density of states at the Fermi level comes out at 6.1 states/eV per cell.

abc: 5.4477 5.4477 5.4477
angles: 60.00 60.00 60.00
Fractional coordinates of all 6 atoms:
Ce 0.0000 0.0000 0.0000
Tm 0.7500 0.7500 0.7500
Pt 0.3753 0.3753 0.3753
Pt 0.3753 0.3753 0.8740
Pt 0.3753 0.8740 0.3753
Pt 0.8740 0.3753 0.3753

=====

Energy above the most stable structure, in meV/atom: entry i 0; entry ii 25